Density functional theory data (PBE) for a geometry-optimized Ac4Te2PtRh structure.

POSCAR file:
```
Ac4Te2PtRh
1.0
-3.8463 -1.1766 -1.8800
3.5063 -5.8710 -3.4990
-2.8003 -2.7554 7.4535
Te Ac Pt Rh
2 4 1 1
Direct
0.5000 0.0000 0.5000
0.0000 0.5000 0.5000
0.0000 0.7329 0.2114
0.5000 0.7583 0.7881
0.0000 0.2671 0.7886
0.5000 0.2417 0.2119
0.0000 0.0000 0.0000
0.5000 0.5000 0.0000
```

Its total magnetization is 0.00 μB per formula unit. The uncorrected formation energy is -118 kJ/mol of atoms. The calculation puts the total energy at -0.2109 Ha/atom. The space-group type is P2/m, No. 10.

Density functional theory data (PBE) for a geometry-optimized HfCu3H structure.

POSCAR file:
```
HfCu3H
1.0
-1.1597 4.5650 1.8365
-0.7797 -2.0334 4.5622
4.8584 0.7634 1.1705
Cu H Hf
3 1 1
Direct
0.0000 0.5000 0.0000
0.5000 0.0000 0.0000
0.0000 0.0000 0.5000
0.5000 0.5000 0.5000
0.0000 0.0000 0.0000
```

Its total magnetization is 0.41 μB per formula unit. The calculation puts the total energy at -0.1234 Ha/atom. For the energy above the most stable polymorph in this dataset, the calculation gives 1531 meV/atom. The space-group type is Pm-3m, No. 221.

Density functional theory data (PBE) for a geometry-optimized DyAl2H6 structure.

POSCAR file:
```
DyAl2H6
1.0
-2.9196 3.4230 -2.3748
-5.0021 0.1486 0.9149
-1.9947 3.8870 2.6061
H Al Dy
6 2 1
Direct
0.7146 0.2854 0.2854
0.2854 0.7146 0.7146
0.2854 0.2854 0.7146
0.2854 0.7146 0.2854
0.7146 0.7146 0.2854
0.7146 0.2854 0.7146
0.2500 0.2500 0.2500
0.7500 0.7500 0.7500
0.0000 0.0000 0.0000
```

Its total magnetization is 0.00 μB per formula unit. The calculation puts the total energy at -0.1139 Ha/atom. The space-group type is Fm-3m, No. 225.

Density functional theory data (PBE) for a geometry-optimized Cd2CoNi structure.

POSCAR file:
```
Cd2CoNi
1.0
4.6677 -0.0080 0.0182
3.8067 2.7011 0.0182
0.8238 0.2618 4.9966
Cd Ni Co
2 1 1
Direct
0.4986 0.4986 0.5013
0.0014 0.0014 0.9987
0.7500 0.7500 0.7500
0.2500 0.2500 0.2500
```

Its total magnetization is 1.80 μB per formula unit. The formation energy from the elements is 0.327 eV per atom. The calculation puts the total energy at -0.1232 Ha/atom. For the energy above the most stable polymorph in this dataset, the calculation gives 170 meV/atom. The space-group type is C2/m, No. 12.

Density functional theory data (PBE) for a geometry-optimized Li5Zn2Cd2Ga structure.

POSCAR file:
```
Li5Zn2Cd2Ga
1.0
3.3192 0.0000 0.0000
0.0000 10.2286 0.0000
0.0000 0.0000 10.2286
Zn Li Ga Cd
4 10 2 4
Direct
0.0000 0.6299 0.8701
0.0000 0.8701 0.3701
0.0000 0.1299 0.6299
0.0000 0.3701 0.1299
0.5000 0.5589 0.6950
0.5000 0.0000 0.5000
0.5000 0.0589 0.8050
0.5000 0.9411 0.1950
0.5000 0.5000 0.0000
0.5000 0.4411 0.3050
0.5000 0.3050 0.5589
0.5000 0.8050 0.9411
0.5000 0.1950 0.0589
0.5000 0.6950 0.4411
0.0000 0.5000 0.5000
0.0000 0.0000 0.0000
0.0000 0.8296 0.6704
0.0000 0.6704 0.1704
0.0000 0.3296 0.8296
0.0000 0.1704 0.3296
```

Its total magnetization is 0.00 μB per formula unit. The formation energy from the elements is -0.120 eV per atom. The calculation puts the total energy at -0.0668 Ha/atom. The space-group type is P4/mbm, No. 127.

Density functional theory data (PBE) for a geometry-optimized La4CeSm4 structure.

POSCAR file:
```
La4CeSm4
1.0
-2.6450 -2.6776 -3.6181
5.3634 -3.5645 -5.0496
-1.2030 -7.6141 2.7476
Ce Sm La
1 4 4
Direct
0.0000 0.0000 0.0000
0.6631 0.6739 0.0000
0.6631 0.0000 0.6739
0.3369 0.3261 0.0000
0.3369 0.0000 0.3261
0.6718 0.3282 0.3282
0.0000 0.3282 0.6718
0.0000 0.6718 0.3282
0.3282 0.6718 0.6718
```

Its total magnetization is 1.20 μB per formula unit. The formation energy from the elements is 0.048 eV per atom. The calculation puts the total energy at -0.1800 Ha/atom. The space-group type is I4/mmm, No. 139.

Density functional theory data (PBE) for a geometry-optimized LiCeTlNi structure.

POSCAR file:
```
LiCeTlNi
1.0
4.7483 0.0000 0.0000
2.3741 4.1121 0.0000
2.3741 1.3707 3.8770
Ce Ni Li Tl
1 1 1 1
Direct
0.0000 0.0000 0.0000
0.2500 0.2500 0.2500
0.7500 0.7500 0.7500
0.5000 0.5000 0.5000
```

Its total magnetization is 0.15 μB per formula unit. The formation energy from the elements is -0.213 eV per atom. The calculation puts the total energy at -0.1548 Ha/atom. The space-group type is F-43m, No. 216.

Density functional theory data (PBE) for a geometry-optimized BaSmP2S8 structure.

POSCAR file:
```
BaSmP2S8
1.0
6.0953 0.0000 0.0000
-3.0476 5.2786 0.0000
0.0000 0.0000 9.4022
S P Sm Ba
8 2 1 1
Direct
0.6481 0.6500 0.6951
0.6500 0.0019 0.3049
0.9981 0.6481 0.3049
0.6667 0.3333 0.0264
0.0019 0.3519 0.6951
0.3519 0.3500 0.3049
0.3500 0.9981 0.6951
0.3333 0.6667 0.9736
0.6667 0.3333 0.2430
0.3333 0.6667 0.7570
0.0000 0.0000 0.5000
0.0000 0.0000 0.0000
```

Its total magnetization is 0.05 μB per formula unit. The uncorrected formation energy is -82 kJ/mol of atoms. The calculation puts the total energy at -0.1857 Ha/atom. The space-group type is P-3, No. 147.

Density functional theory data (PBE) for a geometry-optimized SrSmInBr6 structure.

POSCAR file:
```
SrSmInBr6
1.0
7.7447 0.0000 0.0000
-3.8724 6.7071 0.0000
0.0000 0.0000 14.0759
Br Sr Sm In
12 2 2 2
Direct
0.0189 0.6459 0.8674
0.6270 0.6459 0.6326
0.0189 0.3730 0.6326
0.9811 0.3541 0.1326
0.9811 0.6270 0.3674
0.3730 0.0189 0.1326
0.3541 0.9811 0.6326
0.3541 0.3730 0.8674
0.3730 0.3541 0.3674
0.6459 0.0189 0.3674
0.6459 0.6270 0.1326
0.6270 0.9811 0.8674
0.6667 0.3333 0.7500
0.3333 0.6667 0.2500
0.6667 0.3333 0.2500
0.3333 0.6667 0.7500
0.0000 0.0000 0.0000
0.0000 0.0000 0.5000
```

Its total magnetization is 0.00 μB per formula unit. The uncorrected formation energy is -163 kJ/mol of atoms. The calculation puts the total energy at -0.1405 Ha/atom. The space-group type is P-31c, No. 163.

Density functional theory data (PBE) for a geometry-optimized RbLa2Hf structure.

POSCAR file:
```
RbLa2Hf
1.0
0.0000 4.1322 4.1322
4.1322 0.0000 4.1322
4.1322 4.1322 0.0000
Hf Rb La
1 1 2
Direct
0.5000 0.5000 0.5000
0.0000 0.0000 0.0000
0.2500 0.2500 0.2500
0.7500 0.7500 0.7500
```

Its total magnetization is 2.69 μB per formula unit. The formation energy from the elements is 0.797 eV per atom. The calculation puts the total energy at -0.1616 Ha/atom. For the energy above the most stable polymorph in this dataset, the calculation gives 0 meV/atom. The space-group type is Fm-3m, No. 225.